# Rb2UAuS5, optimized geometry, DFT GGA-PBE
data_Rb2UAuS5
_cell_length_a 4.005
_cell_length_b 10.196
_cell_length_c 13.664
_cell_angle_alpha 90.00
_cell_angle_beta 90.00
_cell_angle_gamma 101.33
_symmetry_space_group_name_H-M 'P 1'
_symmetry_Int_Tables_number 1
_symmetry_space_group_name_Hall 'P 1'
loop_
_atom_site_label
_atom_site_type_symbol
_atom_site_fract_x
_atom_site_fract_y
_atom_site_fract_z
_atom_site_occupancy
Rb1 Rb 0.877 0.754 0.822 1
Rb2 Rb 0.120 0.240 0.691 1
Rb3 Rb 0.123 0.246 0.322 1
Rb4 Rb 0.880 0.760 0.191 1
U1 U 0.796 0.591 0.511 1
U2 U 0.204 0.409 0.011 1
Au1 Au 0.564 0.129 0.938 1
Au2 Au 0.436 0.871 0.438 1
S1 S 0.326 0.652 0.009 1
S2 S 0.705 0.411 0.886 1
S3 S 0.507 0.015 0.792 1
S4 S 0.294 0.589 0.634 1
S5 S 0.923 0.846 0.541 1
S6 S 0.674 0.348 0.509 1
S7 S 0.295 0.589 0.386 1
S8 S 0.493 0.985 0.292 1
S9 S 0.706 0.411 0.134 1
S10 S 0.077 0.154 0.041 1
# **Formation energy without anion corrections**: -0.900 eV per atom
# **Crystal system**: orthorhombic

---

# HfScRu, optimized geometry, DFT GGA-PBE
data_HfScRu
_cell_length_a 7.461
_cell_length_b 3.266
_cell_length_c 11.134
_cell_angle_alpha 90.00
_cell_angle_beta 119.59
_cell_angle_gamma 90.00
_symmetry_space_group_name_H-M 'P 1'
_symmetry_Int_Tables_number 1
_symmetry_space_group_name_Hall 'P 1'
loop_
_atom_site_label
_atom_site_type_symbol
_atom_site_fract_x
_atom_site_fract_y
_atom_site_fract_z
_atom_site_occupancy
Hf1 Hf 0.365 0.000 0.987 1
Hf2 Hf 0.365 0.500 0.487 1
Hf3 Hf 0.684 0.000 0.423 1
Hf4 Hf 0.684 0.500 0.923 1
Sc1 Sc 0.801 0.000 0.729 1
Sc2 Sc 0.801 0.500 0.229 1
Sc3 Sc 0.127 0.000 0.172 1
Sc4 Sc 0.127 0.500 0.672 1
Ru1 Ru 0.049 0.000 0.441 1
Ru2 Ru 0.049 0.500 0.941 1
Ru3 Ru 0.443 0.000 0.715 1
Ru4 Ru 0.443 0.500 0.215 1
# **Crystal system**: monoclinic
# **Formation enthalpy at 0 K**: -118 kJ/mol of formula units

---

# LaTe2Pb, optimized geometry, DFT GGA-PBE
data_LaTe2Pb
_cell_length_a 4.125
_cell_length_b 3.985
_cell_length_c 8.563
_cell_angle_alpha 90.03
_cell_angle_beta 90.00
_cell_angle_gamma 90.00
_symmetry_space_group_name_H-M 'P 1'
_symmetry_Int_Tables_number 1
_symmetry_space_group_name_Hall 'P 1'
loop_
_atom_site_label
_atom_site_type_symbol
_atom_site_fract_x
_atom_site_fract_y
_atom_site_fract_z
_atom_site_occupancy
La1 La 0.500 0.250 0.250 1
Pb1 Pb 0.500 0.750 0.750 1
Te1 Te 0.000 0.750 0.043 1
Te2 Te 0.000 0.750 0.457 1
# **Formation energy without anion corrections**: -0.948 eV per atom
# **Crystal system**: orthorhombic

---

# TaCuTe, optimized geometry, DFT GGA-PBE
data_TaCuTe
_cell_length_a 7.460
_cell_length_b 7.331
_cell_length_c 3.097
_cell_angle_alpha 80.26
_cell_angle_beta 75.59
_cell_angle_gamma 24.15
_symmetry_space_group_name_H-M 'P 1'
_symmetry_Int_Tables_number 1
_symmetry_space_group_name_Hall 'P 1'
loop_
_atom_site_label
_atom_site_type_symbol
_atom_site_fract_x
_atom_site_fract_y
_atom_site_fract_z
_atom_site_occupancy
Cu1 Cu 0.960 0.960 0.040 1
Ta1 Ta 0.343 0.343 0.657 1
Te1 Te 0.697 0.697 0.303 1
# **Formation energy without anion corrections**: 0.430 eV per atom
# **Crystal system**: orthorhombic